Na3CaPb, relaxed, DFT PBE; ΔE to the lowest computed polymorph = 499 meV/atom; symmetry = Pm-3m; formation energy = 0.647 eV per atom; spin magnetization = 0.0 μB per formula unit; electronic total energy = -1.29 eV per atom
1.0
6.045 0.000 0.000
0.000 6.045 0.000
0.000 0.000 6.045
Na Ca Pb
3 1 1
Direct
0.000 0.000 0.500
0.000 0.500 0.000
0.500 0.000 0.000
0.000 0.000 0.000
0.500 0.500 0.500

PrNd3Se4, relaxed, DFT PBE; ΔE to the lowest computed polymorph = 0 meV/atom; symmetry = P2/c; uncorrected formation energy = -1.842 eV per atom; spin magnetization = 0.0 μB per formula unit; electronic total energy = -5.97 eV per atom
1.0
7.373 0.000 0.000
0.000 8.397 0.000
-2.431 0.000 6.960
Pr Nd Se
2 6 8
Direct
0.000 0.125 0.250
0.000 0.875 0.750
0.000 0.375 0.750
0.000 0.625 0.250
0.500 0.125 0.750
0.500 0.375 0.250
0.500 0.625 0.750
0.500 0.875 0.250
0.251 0.376 0.501
0.251 0.624 0.001
0.252 0.126 0.000
0.252 0.874 0.500
0.748 0.126 0.500
0.748 0.874 0.000
0.749 0.376 0.999
0.749 0.624 0.499

LiZnFeP, relaxed, DFT PBE; symmetry = P4/nmm; formation energy = -0.375 eV per atom; spin magnetization = 0.0 μB per formula unit; electronic total energy = -4.64 eV per atom
1.0
3.677 0.000 0.000
0.000 3.677 0.000
0.000 0.000 8.678
Li Zn Fe P
2 2 2 2
Direct
0.250 0.250 0.234
0.750 0.750 0.766
0.250 0.750 0.500
0.750 0.250 0.500
0.250 0.750 0.000
0.750 0.250 0.000
0.250 0.250 0.861
0.750 0.750 0.139

Tl2TcBr, relaxed, DFT PBE; ΔE to the lowest computed polymorph = 130 meV/atom; symmetry = Pm; uncorrected formation energy = 0.471 eV per atom; spin magnetization = 2.0 μB per formula unit; electronic total energy = -3.72 eV per atom
1.0
3.568 0.000 0.000
0.000 4.652 0.000
-1.776 0.000 5.831
Tl Tc Br
2 1 1
Direct
0.000 0.000 0.000
0.315 0.500 0.633
0.748 0.000 0.497
0.598 0.500 0.197